LiErTmPt | PBE | relaxed

- formation enthalpy at 0 K (eV/f.u.) = -2.85
- crystal system = cubic
- space group = F-43m

```
LiErTmPt
1.0
0.0000 3.4782 3.4782
3.4782 0.0000 3.4782
3.4782 3.4782 0.0000
Li Er Tm Pt
1 1 1 1
direct
0.0000 0.0000 0.0000
0.7500 0.7500 0.7500
0.2500 0.2500 0.2500
0.5000 0.5000 0.5000
```